1.
Ac2PSe after structural relaxation, computed with PBE-GGA.

abc: 7.607 7.607 7.607
angles: 90.00 90.00 90.00
Space group Fm-3m (No. 225)
Unique sites:
Ac (0.250, 0.250, 0.250) [8 per cell]
P (0.000, 0.000, 0.000) [4 per cell]
Se (0.000, 0.000, 0.500) [4 per cell]

Output
The value obtained for the energy above the most stable polymorph in this dataset is 0.3294 eV per atom.

2.
Ac3P2Se3 after structural relaxation, computed with PBE-GGA.

abc: 9.3328 9.3328 5.9999
angles: 90.00 90.00 120.00
Space group P6_3/mcm (No. 193)
Unique sites:
Ac (0.0000, 0.3709, 0.2500) [6 per cell]
P (0.3333, 0.6667, 0.0000) [4 per cell]
Se (0.0000, 0.2786, 0.7500) [6 per cell]

3.
Ac6P5Se after structural relaxation, computed with PBE-GGA.

abc: 7.710 13.352 7.711
angles: 90.00 109.48 90.00
Space group C2/m (No. 12)
Unique sites:
Ac (0.243, 0.000, 0.255) [4 per cell]
Ac (0.244, 0.171, 0.746) [8 per cell]
P (0.000, 0.000, 0.500) [2 per cell]
P (0.000, 0.167, 0.000) [4 per cell]
P (0.000, 0.335, 0.500) [4 per cell]
Se (0.000, 0.500, 0.000) [2 per cell]

no.,uncorrected formation energy (eV/f.u.)
1,-5.69
2,-11.55
3,-19.06